Entry 1:
Material: KTlCuCl3
Method: DFT, PBE-GGA
State: relaxed Values from VASP.

* density: 3.81 g/cm3
* electronic total energy: -3.262 eV per atom
* symmetry: C2/m

Cell and atoms, written as Quantum ESPRESSO input:
```
&SYSTEM
  ibrav = 0, nat = 12, ntyp = 4
/
ATOMIC_SPECIES
Cl 35.45 Cl.upf
Cu 63.55 Cu.upf
Tl 204.38 Tl.upf
K 39.10 K.upf
ATOMIC_POSITIONS crystal
Cl 0.864 0.728 0.196
Cl 0.850 0.700 0.668
Cl 0.136 0.272 0.804
Cl 0.150 0.300 0.332
Cl 0.505 0.009 0.244
Cl 0.495 0.991 0.756
Cu 0.993 0.986 0.738
Cu 0.007 0.014 0.262
Tl 0.356 0.712 0.938
Tl 0.644 0.288 0.062
K 0.356 0.712 0.427
K 0.644 0.288 0.573
CELL_PARAMETERS angstrom
-1.827 -0.273 -5.185
-5.889 -3.152 5.163
-1.528 8.331 0.099
```

***

Entry 2:
Material: K3Tl4CuCl8
Method: DFT, PBE-GGA
State: relaxed Values from VASP.

* density: 4.16 g/cm3
* electronic total energy: -3.210 eV per atom
* symmetry: C2/m

Cell and atoms, written as Quantum ESPRESSO input:
```
&SYSTEM
  ibrav = 0, nat = 16, ntyp = 4
/
ATOMIC_SPECIES
Tl 204.38 Tl.upf
Cl 35.45 Cl.upf
Cu 63.55 Cu.upf
K 39.10 K.upf
ATOMIC_POSITIONS crystal
Tl 0.000 0.000 0.500
Tl 0.000 0.000 0.000
Tl 0.500 0.000 0.500
Tl 0.500 0.000 0.000
Cl 0.746 0.740 0.492
Cl 0.269 0.762 0.538
Cl 0.799 0.302 0.004
Cl 0.254 0.260 0.508
Cl 0.731 0.238 0.462
Cl 0.795 0.698 0.996
Cl 0.205 0.302 0.004
Cl 0.201 0.698 0.996
Cu 0.000 0.500 0.000
K 0.500 0.500 0.000
K 0.000 0.500 0.500
K 0.500 0.500 0.500
CELL_PARAMETERS angstrom
-6.690 5.426 -1.553
-5.633 -5.887 3.697
7.011 2.958 4.799
```